Run one
Tl2SiAs | PBE | optimized geometry

Geometry as extended XYZ:
```
4
Lattice="-2.8205 1.6093 -0.4229 -2.3235 -3.9421 0.4962 -0.3749 1.0282 6.4135" Properties=species:S:1:pos:R:3 pbc="T T T"
As -2.6658 -0.9094 1.6400
Si -2.8532 -0.3953 4.8467
Tl -0.3745 1.0270 6.4058
Tl -0.1879 0.5153 3.2144
```

Output
Symmetry: Pmmm


Run two
Tl2SiAs | PBE | optimized geometry

Geometry as extended XYZ:
```
4
Lattice="8.1436 2.0491 -0.1314 5.4021 6.4291 0.1314 -6.6756 -4.3945 2.5805" Properties=species:S:1:pos:R:3 pbc="T T T"
As 4.1204 0.9468 1.2245
Si 2.7497 3.1369 1.3559
Tl 1.1408 0.7140 0.0000
Tl 5.6321 3.5251 0.0000
```

Output
Symmetry: Immm


Q: Which of them is the most stable? A: run two.